A relaxed CuAg crystal. Source: OQMD via LeMat-Bulk, functional PBE.

**Calculated formation energy**: 107 meV/atom
**Calculated total energy**: -0.1163 hartree per atom
**SG**: Pm (6)

The structure in POSCAR format:
```
CuAg
1.0
4.8029 0.0000 0.0000
0.0000 2.7853 0.0000
-0.0417 0.0000 6.6550
Cu Ag
3 3
direct
0.0000 0.0000 0.0000 Cu
0.1508 0.5000 0.3047 Cu
0.6826 0.0000 0.3151 Cu
0.3330 0.0000 0.6324 Ag
0.4983 0.5000 0.9984 Ag
0.8377 0.5000 0.6522 Ag
```